# 1
CrPtBr2 after structural relaxation, computed with GGA-PBE.

The structure in POSCAR format:
```
CrPtBr2
1.0
6.8380 -0.0513 0.0000
4.8165 4.8541 0.0000
-5.8273 -2.4014 2.6528
Br Cr Pt
2 1 1
direct
0.2500 0.7500 0.5000 Br
0.0000 0.0000 0.0000 Br
0.5000 0.5000 0.0000 Cr
0.7500 0.2500 0.5000 Pt
```

Values from the calculation:
**Density of states at the Fermi level**: 1.45 states/eV/f.u.
**E above lowest polymorph**: 0.4626 eV per atom
**Total DFT energy (no corrections)**: -17.8 eV per cell


# 2
CrPt2Br after structural relaxation, computed with GGA-PBE.

The structure in POSCAR format:
```
CrPt2Br
1.0
6.8360 0.0506 0.0001
4.8649 4.8028 -0.0001
-5.4885 -3.2993 2.3926
Br Pt Cr
1 2 1
direct
0.4273 0.4273 0.0000 Br
0.0916 0.0916 0.0000 Pt
0.7138 0.2138 0.5000 Pt
0.2673 0.7673 0.5000 Cr
```

Values from the calculation:
**Density of states at the Fermi level**: 2.65 states/eV/f.u.
**E above lowest polymorph**: 0.0894 eV per atom
**Total DFT energy (no corrections)**: -22.5 eV per cell


# 3
CrPtBr2 after structural relaxation, computed with GGA-PBE.

The structure in POSCAR format:
```
CrPtBr2
1.0
3.6981 0.0000 0.0000
0.0000 3.8086 0.0354
0.0000 4.0927 7.2878
Cr Br Pt
1 2 1
direct
0.0000 0.2929 0.5843 Cr
0.5000 0.3023 0.3469 Br
0.0000 0.1952 0.9062 Br
0.5000 0.7095 0.6625 Pt
```

Values from the calculation:
**Density of states at the Fermi level**: 1.76 states/eV/f.u.
**E above lowest polymorph**: 0.1029 eV per atom
**Total DFT energy (no corrections)**: -19.2 eV per cell


# 4
CrPtBr2 after structural relaxation, computed with GGA-PBE.

The structure in POSCAR format:
```
CrPtBr2
1.0
-1.1479 -0.4889 3.8537
0.5650 -4.7719 -0.4370
4.5729 0.4205 1.4155
Br Pt Cr
2 1 1
direct
0.0000 0.9982 0.9983 Br
0.0000 0.5018 0.5017 Br
0.5000 0.7500 0.7500 Pt
0.5000 0.2500 0.2500 Cr
```

Values from the calculation:
**Density of states at the Fermi level**: 2.72 states/eV/f.u.
**E above lowest polymorph**: 0.4876 eV per atom
**Total DFT energy (no corrections)**: -17.7 eV per cell


# 5
CrPtBr2 after structural relaxation, computed with GGA-PBE.

The structure in POSCAR format:
```
CrPtBr2
1.0
7.7309 0.0750 -0.0076
5.8920 5.0058 0.0076
-6.7145 -2.8003 2.6166
Cr Pt Br
1 1 2
direct
0.4333 0.4333 0.0000 Cr
0.2923 0.7923 0.5000 Pt
0.7699 0.2699 0.5000 Br
0.0046 0.0046 0.0000 Br
```

Values from the calculation:
**Density of states at the Fermi level**: 3.30 states/eV/f.u.
**E above lowest polymorph**: 0.2900 eV per atom
**Total DFT energy (no corrections)**: -18.4 eV per cell


# 6
CrPt2Br after structural relaxation, computed with GGA-PBE.

The structure in POSCAR format:
```
CrPt2Br
1.0
2.9997 0.0000 0.0000
0.0000 4.6501 0.0000
0.0000 0.0000 4.9247
Pt Br Cr
2 1 1
direct
0.0000 0.0000 0.0000 Pt
0.5000 0.5000 0.0000 Pt
0.5000 0.0000 0.5000 Br
0.0000 0.5000 0.5000 Cr
```

Values from the calculation:
**Density of states at the Fermi level**: 4.09 states/eV/f.u.
**E above lowest polymorph**: 0.2772 eV per atom
**Total DFT energy (no corrections)**: -21.7 eV per cell


# 7
CrPtS2Br after structural relaxation, computed with GGA-PBE.

The structure in POSCAR format:
```
CrPtS2Br
1.0
4.7055 0.0000 0.0000
0.0000 5.2164 0.0000
0.0000 0.0000 4.7055
S Pt Cr Br
2 1 1 1
direct
0.5000 0.0000 0.0000 S
0.0000 0.0000 0.5000 S
0.0000 0.0000 0.0000 Pt
0.5000 0.5000 0.5000 Cr
0.0000 0.5000 0.0000 Br
```

Values from the calculation:
**Density of states at the Fermi level**: 5.57 states/eV/f.u.
**Total DFT energy (no corrections)**: -22.9 eV per cell


# 8
CrSb2PtBr after structural relaxation, computed with GGA-PBE.

The structure in POSCAR format:
```
CrSb2PtBr
1.0
5.4446 0.0000 0.0000
0.0000 4.3034 0.0000
0.0000 0.0000 5.4446
Sb Br Pt Cr
2 1 1 1
direct
0.0000 0.0000 0.5000 Sb
0.5000 0.0000 0.0000 Sb
0.0000 0.0000 0.0000 Br
0.5000 0.5000 0.5000 Pt
0.0000 0.5000 0.0000 Cr
```

Values from the calculation:
**Density of states at the Fermi level**: 6.71 states/eV/f.u.
**Total DFT energy (no corrections)**: -18.3 eV per cell


# 9
CrPtSeBr2 after structural relaxation, computed with GGA-PBE.

The structure in POSCAR format:
```
CrPtSeBr2
1.0
-1.5632 -4.8692 0.7409
3.8671 -1.6948 -2.9790
2.9424 -0.3344 4.0099
Cr Pt Br Se
1 1 2 1
direct
0.5000 0.5000 0.5000 Cr
0.0000 0.0000 0.0000 Pt
0.0000 0.5000 0.0000 Br
0.5000 0.0000 0.0000 Br
0.0000 0.0000 0.5000 Se
```

Values from the calculation:
**Density of states at the Fermi level**: 5.02 states/eV/f.u.
**E above lowest polymorph**: 0.0000 eV per atom
**Total DFT energy (no corrections)**: -20.5 eV per cell


# 10
CrPtSe2Br after structural relaxation, computed with GGA-PBE.

The structure in POSCAR format:
```
CrPtSe2Br
1.0
4.9903 0.0000 0.0000
0.0000 4.9903 0.0000
0.0000 0.0000 5.1379
Se Pt Cr Br
2 1 1 1
direct
0.0000 0.5000 0.0000 Se
0.5000 0.0000 0.0000 Se
0.0000 0.0000 0.0000 Pt
0.5000 0.5000 0.5000 Cr
0.0000 0.0000 0.5000 Br
```

Values from the calculation:
**Density of states at the Fermi level**: 5.08 states/eV/f.u.
**E above lowest polymorph**: 0.0000 eV per atom
**Total DFT energy (no corrections)**: -21.8 eV per cell


# 11
CrSiPt2Br after structural relaxation, computed with GGA-PBE.

The structure in POSCAR format:
```
CrSiPt2Br
1.0
-1.0066 4.3409 0.5004
-0.2104 -0.6754 5.4364
4.3663 0.9790 0.2906
Cr Pt Br Si
1 2 1 1
direct
0.5000 0.5000 0.5000 Cr
0.0000 0.0000 0.5000 Pt
0.5000 0.0000 0.0000 Pt
0.0000 0.5000 0.0000 Br
0.0000 0.0000 0.0000 Si
```

Values from the calculation:
**Density of states at the Fermi level**: 3.14 states/eV/f.u.
**Total DFT energy (no corrections)**: -26.8 eV per cell


# 12
TaCrPt2Br after structural relaxation, computed with GGA-PBE.

The structure in POSCAR format:
```
TaCrPt2Br
1.0
4.7193 0.0000 0.0000
0.0000 4.2629 0.0000
0.0000 0.0000 4.7193
Ta Br Pt Cr
1 1 2 1
direct
0.5000 0.5000 0.5000 Ta
0.0000 0.0000 0.0000 Br
0.5000 0.0000 0.0000 Pt
0.0000 0.0000 0.5000 Pt
0.0000 0.5000 0.0000 Cr
```

Values from the calculation:
**Density of states at the Fermi level**: 5.61 states/eV/f.u.
**Total DFT energy (no corrections)**: -28.0 eV per cell


no.,raw formation energy (kcal/mol of atoms),size of the total moment (μB per formula unit)
1,7.225,4.51
2,5.131,2.39
3,-1.069,4.00
4,7.802,4.13
5,3.246,4.22
6,9.461,4.08
7,12.407,3.47
8,33.672,0.26
9,9.329,4.04
10,11.596,3.61
11,9.430,4.80
12,33.315,0.15